BaNdP2Se8, relaxed, DFT PBE-GGA; formation energy (no corrections) = -8.3 eV per formula unit
1.0
6.335 0.000 0.000
-3.168 5.487 0.000
0.000 0.000 9.860
Ba Nd P Se
1 1 2 8
direct
0.000 0.000 0.000 Ba
0.000 0.000 0.500 Nd
0.667 0.333 0.240 P
0.333 0.667 0.760 P
0.333 0.667 0.985 Se
0.347 0.374 0.303 Se
0.626 0.974 0.303 Se
0.667 0.333 0.015 Se
0.374 0.026 0.697 Se
0.653 0.626 0.697 Se
0.974 0.347 0.697 Se
0.026 0.653 0.303 Se